1:
{
  "formula": "NiMoW",
  "functional": "GGA-PBE",
  "state": "optimized geometry",
  "total_magnetization_mub_per_atom": 0.001,
  "crystal_system": "tetragonal",
  "cell": [[4.777, -0.019, 0.000], [2.612, 3.999, 0.000], [-3.694, -1.990, 2.282]],
  "species": ["Ni", "W", "Mo"],
  "frac_coords": [[0.332, 0.332, 0.000], [0.667, 0.667, 0.000], [0.001, 0.001, 0.000]]
}

=====

2:
{
  "formula": "NiMoW",
  "functional": "GGA-PBE",
  "state": "optimized geometry",
  "total_magnetization_mub_per_atom": 0.000,
  "crystal_system": "tetragonal",
  "cell": [[6.361, -0.002, 0.000], [5.249, 3.593, 0.000], [-5.805, -1.795, 1.881]],
  "species": ["Ni", "Mo", "W"],
  "frac_coords": [[0.333, 0.333, 0.000], [0.989, 0.989, 0.000], [0.678, 0.678, 0.000]]
}

=====

3:
{
  "formula": "NiMoW",
  "functional": "GGA-PBE",
  "state": "optimized geometry",
  "total_magnetization_mub_per_atom": 0.000,
  "crystal_system": "cubic",
  "cell": [[4.081, 0.000, 0.000], [2.040, 3.534, 0.000], [2.040, 1.178, 3.332]],
  "species": ["W", "Mo", "Ni"],
  "frac_coords": [[0.000, 0.000, 0.000], [0.500, 0.500, 0.500], [0.750, 0.750, 0.750]]
}

=====

Most favorable first, least favorable last: 2, 1, 3

=====

1:
{
  "formula": "YNi2Mo2",
  "functional": "GGA-PBE",
  "state": "optimized geometry",
  "total_magnetization_mub_per_atom": 0.000,
  "crystal_system": "tetragonal",
  "cell": [[7.576, 0.000, 0.000], [0.000, 7.576, 0.000], [0.000, 0.000, 2.742]],
  "species": ["Mo", "Ni", "Mo", "Y", "Mo", "Ni", "Mo", "Y", "Ni", "Ni"],
  "frac_coords": [[0.829, 0.329, 0.500], [0.381, 0.881, 0.000], [0.329, 0.171, 0.500], [0.500, 0.500, 0.000], [0.171, 0.671, 0.500], [0.619, 0.119, 0.000], [0.671, 0.829, 0.500], [0.000, 0.000, 0.000], [0.119, 0.381, 0.000], [0.881, 0.619, 0.000]]
}

=====

2:
{
  "formula": "YNi2Mo2",
  "functional": "GGA-PBE",
  "state": "optimized geometry",
  "total_magnetization_mub_per_atom": 0.000,
  "crystal_system": "tetragonal",
  "cell": [[4.404, 0.000, 0.000], [0.000, 4.404, 0.000], [2.202, 2.202, 4.585]],
  "species": ["Ni", "Mo", "Mo", "Y", "Ni"],
  "frac_coords": [[0.250, 0.750, 0.500], [0.635, 0.635, 0.731], [0.365, 0.365, 0.269], [0.000, 0.000, 0.000], [0.750, 0.250, 0.500]]
}

=====

3:
{
  "formula": "YNi2Mo2",
  "functional": "GGA-PBE",
  "state": "optimized geometry",
  "total_magnetization_mub_per_atom": 0.002,
  "crystal_system": "tetragonal",
  "cell": [[7.662, 0.000, 0.000], [0.000, 7.662, 0.000], [0.000, 0.000, 2.723]],
  "species": ["Ni", "Ni", "Ni", "Mo", "Y", "Mo", "Ni", "Mo", "Y", "Mo"],
  "frac_coords": [[0.176, 0.676, 0.500], [0.324, 0.176, 0.500], [0.676, 0.824, 0.500], [0.617, 0.117, 0.000], [0.000, 0.000, 0.000], [0.383, 0.883, 0.000], [0.824, 0.324, 0.500], [0.117, 0.383, 0.000], [0.500, 0.500, 0.000], [0.883, 0.617, 0.000]]
}

=====

Most favorable first, least favorable last: 3, 1, 2